# 1
Entry from Alexandria via LeMat-Bulk: a relaxed structure of Ba5Al2Sb6 (GGA-PBE).

The total energy is -4.0255 eV/atom.

The space group is Pbam (No. 55) and the conventional cell measures 13.5800, 15.3754 and 4.7464 Å, with angles of 90.00, 90.00 and 90.00 degrees. Symmetry generates all atoms from Ba at (0.0000, 0.0000, 0.0000), Ba at (0.0921, 0.2525, 0.0000), Ba at (0.1710, 0.5155, 0.0000), Al at (0.1747, 0.7042, 0.5000), Sb at (0.0053, 0.4051, 0.5000), Sb at (0.1589, 0.8039, 0.0000) and Sb at (0.1626, 0.0975, 0.5000).



# 2
Entry from Alexandria via LeMat-Bulk: a relaxed structure of Ba3AlSb3 (GGA-PBE).

The total energy is -4.0410 eV/atom.

The space group is Cmce (No. 64) and the conventional cell measures 21.4114, 7.2772 and 14.2648 Å, with angles of 90.00, 90.00 and 90.00 degrees. Symmetry generates all atoms from Ba at (0.0000, 0.1857, 0.1471), Ba at (0.1745, 0.1958, 0.8712), Al at (0.0852, 0.0000, 0.5000), Sb at (0.0000, 0.2033, 0.3982) and Sb at (0.1590, 0.2007, 0.6200).



# 3
Entry from Alexandria via LeMat-Bulk: a relaxed structure of Ba7Al4Sb9 (GGA-PBE).

The total energy is -4.0636 eV/atom.

The space group is Pmmn (No. 59, origin choice 2) and the conventional cell measures 10.9338, 18.4363 and 7.2588 Å, with angles of 90.00, 90.00 and 90.00 degrees. Symmetry generates all atoms from Ba at (0.0237, 0.1255, 0.0472), Ba at (0.2500, 0.0341, 0.5455), Ba at (0.2500, 0.7500, 0.5850), Al at (0.0730, 0.2500, 0.5604), Al at (0.2500, 0.6236, 0.2403), Sb at (0.0398, 0.6192, 0.4517), Sb at (0.2500, 0.2500, 0.2898), Sb at (0.2500, 0.2500, 0.8328), Sb at (0.2500, 0.5087, 0.0213) and Sb at (0.2500, 0.7500, 0.0472).



# 4
Entry from Alexandria via LeMat-Bulk: a relaxed structure of BaAl4Sb (GGA-PBE).

The total energy is -3.4606 eV/atom.

The space group is F-43m (No. 216) and the conventional cell measures 8.2989, 8.2989 and 8.2989 Å, with angles of 90.00, 90.00 and 90.00 degrees. Symmetry generates all atoms from Ba at (0.0000, 0.0000, 0.0000), Al at (0.1233, 0.1233, 0.3767) and Sb at (0.2500, 0.2500, 0.7500).